# 1
Below is a geometry-optimized GaSbWC2 structure, with properties calculated at the PBE level.

Computed properties:
- SG: P4/mmm (123)
- Uncorrected formation energy: 2.376 eV per atom

Cell lengths 3.9624, 5.2131, 3.9624 Å; angles 90.00, 90.00, 90.00 degrees
Closest atoms and distances in Å follow each position.
Fractional coordinates of all 5 atoms:
Sb 0.5000 0.5000 0.5000  4 W 2.80
C 0.0000 0.0000 0.5000  2 Ga 1.98
C 0.5000 0.0000 0.0000  2 Ga 1.98
Ga 0.0000 0.0000 0.0000  4 C 1.98
W 0.0000 0.5000 0.0000  2 Ga 2.61, 4 Sb 2.80

=====

# 2
Below is a geometry-optimized LaNd3Rh structure, with properties calculated at the PBE level.

Computed properties:
- SG: Pm-3m (221)
- Energy relative to the lowest polymorph listed for this composition: 0.093 eV per atom

Cell lengths 5.6192, 5.6192, 5.6192 Å; angles 90.00, 90.00, 90.00 degrees
Closest atoms and distances in Å follow each position.
Fractional coordinates of all 5 atoms:
Rh 0.0000 0.0000 0.0000  6 Nd 2.81
Nd 0.0000 0.5000 0.0000  2 Rh 2.81
Nd 0.0000 0.0000 0.5000  2 Rh 2.81
Nd 0.5000 0.0000 0.0000  2 Rh 2.81
La 0.5000 0.5000 0.5000  12 Nd 3.97

=====

# 3
Below is a geometry-optimized AuSe2Br structure, with properties calculated at the PBE level.

Computed properties:
- SG: Cmmm (65)
- Uncorrected formation energy: 0.207 eV per atom

Cell lengths 4.7133, 4.7133, 7.3840 Å; angles 90.00, 90.00, 128.37 degrees
Closest atoms and distances in Å follow each position.
Fractional coordinates of all 4 atoms:
Au 0.5000 0.5000 0.2500  4 Se 2.50
Br 0.5000 0.5000 0.7500  4 Se 3.05
Se 0.0000 0.0000 0.0563  2 Au 2.50
Se 0.0000 0.0000 0.4437  2 Au 2.50

=====

# 4
Below is a geometry-optimized YMgSi3 structure, with properties calculated at the PBE level.

Computed properties:
- SG: Pm-3m (221)
- Energy relative to the lowest polymorph listed for this composition: 0.000 eV per atom
- Uncorrected formation energy: 0.562 eV per atom

Cell lengths 4.8319, 4.8319, 4.8319 Å; angles 90.00, 90.00, 90.00 degrees
Closest atoms and distances in Å follow each position.
Fractional coordinates of all 5 atoms:
Y 0.5000 0.5000 0.5000  12 Si 3.42
Si 0.0000 0.5000 0.0000  2 Mg 2.42
Si 0.0000 0.0000 0.5000  2 Mg 2.42
Si 0.5000 0.0000 0.0000  2 Mg 2.42
Mg 0.0000 0.0000 0.0000  6 Si 2.42

=====

# 5
Below is a geometry-optimized K2CePu3O12 structure, with properties calculated at the PBE level.

Computed properties:
- SG: R-3m (166)
- Uncorrected formation energy: -2.561 eV per atom

Cell lengths 7.8724, 7.8724, 7.8724 Å; angles 60.92, 60.92, 60.92 degrees
Closest atoms and distances in Å follow each position.
Fractional coordinates of all 18 atoms:
K 0.6749 0.6749 0.6749  6 O 2.92-3.13
K 0.3251 0.3251 0.3251  6 O 2.92-3.13
Ce 0.0000 0.0000 0.0000  6 O 2.26
Pu 0.5000 0.0000 0.0000  6 O 2.00-2.10
Pu 0.0000 0.5000 0.0000  6 O 2.00-2.10
Pu 0.0000 0.0000 0.5000  6 O 2.00-2.10
O 0.3073 0.3073 0.9455  2 Pu 2.10
O 0.9275 0.9275 0.3381  1 Pu 2.00
O 0.3381 0.9275 0.9275  1 Pu 2.00
O 0.9455 0.3073 0.3073  2 Pu 2.10
O 0.9275 0.3381 0.9275  1 Pu 2.00
O 0.3073 0.9455 0.3073  2 Pu 2.10
O 0.6927 0.6927 0.0545  2 Pu 2.10
O 0.0725 0.0725 0.6619  1 Pu 2.00
O 0.6619 0.0725 0.0725  1 Pu 2.00
O 0.0545 0.6927 0.6927  2 Pu 2.10
O 0.0725 0.6619 0.0725  1 Pu 2.00
O 0.6927 0.0545 0.6927  2 Pu 2.10

=====

# 6
Below is a geometry-optimized CrCdOs2 structure, with properties calculated at the PBE level.

Computed properties:
- Total DFT energy (no corrections): -7.54 eV/atom
- SG: Pmmm (47)

Cell lengths 2.9253, 4.6434, 4.5707 Å; angles 90.00, 90.00, 90.00 degrees
Closest atoms and distances in Å follow each position.
Fractional coordinates of all 4 atoms:
Cd 0.5000 0.0000 0.5000  4 Os 2.71, 4 Cr 2.74, 2 Cd 2.93
Cr 0.0000 0.5000 0.5000  4 Os 2.71, 4 Cd 2.74, 2 Cr 2.93
Os 0.0000 0.0000 0.0000  4 Cd 2.71, 6 Os 2.74-2.93
Os 0.5000 0.5000 0.0000  4 Cr 2.71, 6 Os 2.74-2.93

=====

# 7
Below is a geometry-optimized Na2LiY structure, with properties calculated at the PBE level.

Computed properties:
- SG: I-42d (122)
- Energy relative to the lowest polymorph listed for this composition: 0.194 eV per atom

Cell lengths 8.6243, 8.6243, 6.9420 Å; angles 51.60, 51.60, 90.00 degrees
Closest atoms and distances in Å follow each position.
Fractional coordinates of all 8 atoms:
Y 0.0000 0.0000 0.0000  2 Li 3.32, 4 Na 3.45
Y 0.7500 0.2500 0.5000  2 Li 3.32, 4 Na 3.45
Na 0.5784 0.1250 0.2500  2 Li 2.90
Na 0.1716 0.6250 0.2500  2 Li 2.90
Na 0.3750 0.4216 0.7500  2 Li 2.90
Na 0.8750 0.8284 0.7500  2 Li 2.90
Li 0.5000 0.5000 0.0000  4 Na 2.90
Li 0.2500 0.7500 0.5000  4 Na 2.90

=====

# 8
Below is a geometry-optimized Rb2SnHgPb6 structure, with properties calculated at the PBE level.

Computed properties:
- Total DFT energy (no corrections): -2.79 eV/atom
- SG: Pmmn (59)

Cell lengths 8.3672, 9.1803, 10.3557 Å; angles 90.00, 90.00, 90.00 degrees
Closest atoms and distances in Å follow each position.
Fractional coordinates of all 20 atoms:
Rb 0.5000 0.6947 0.3150  5 Pb 3.71-4.05, 1 Rb 3.83, 1 Sn 4.00
Rb 0.0000 0.3053 0.8149  5 Pb 3.71-4.05, 1 Rb 3.83, 1 Sn 4.00
Rb 0.5000 0.6947 0.6851  5 Pb 3.71-4.05, 1 Rb 3.83, 1 Sn 4.00
Rb 0.0000 0.3053 0.1850  5 Pb 3.71-4.05, 1 Rb 3.83, 1 Sn 4.00
Sn 0.5000 0.3118 0.5000  4 Pb 2.94-3.10
Sn 0.0000 0.6882 0.0000  4 Pb 2.94-3.10
Hg 0.0000 0.7484 0.5000  6 Pb 3.14-3.42
Hg 0.5000 0.2516 0.0000  6 Pb 3.14-3.42
Pb 0.5000 0.0958 0.2695  1 Sn 3.10, 1 Hg 3.14, 2 Pb 3.42
Pb 0.5000 0.0958 0.7305  1 Sn 3.10, 1 Hg 3.14, 2 Pb 3.42
Pb 0.0000 0.9042 0.2305  1 Sn 3.10, 1 Hg 3.14, 2 Pb 3.42
Pb 0.0000 0.9042 0.7695  1 Sn 3.10, 1 Hg 3.14, 2 Pb 3.42
Pb 0.2095 0.0685 0.5000  1 Sn 3.30, 6 Pb 3.42-3.62, 1 Hg 3.42
Pb 0.7905 0.0685 0.5000  1 Sn 3.30, 6 Pb 3.42-3.62, 1 Hg 3.42
Pb 0.1775 0.4400 0.5000  1 Sn 2.94, 1 Pb 2.97, 1 Hg 3.20
Pb 0.8225 0.4400 0.5000  1 Sn 2.94, 1 Pb 2.97, 1 Hg 3.20
Pb 0.6775 0.5600 0.0000  1 Sn 2.94, 1 Pb 2.97, 1 Hg 3.20
Pb 0.3225 0.5600 0.0000  1 Sn 2.94, 1 Pb 2.97, 1 Hg 3.20
Pb 0.2905 0.9315 0.0000  1 Sn 3.30, 6 Pb 3.42-3.62, 1 Hg 3.42
Pb 0.7095 0.9315 0.0000  1 Sn 3.30, 6 Pb 3.42-3.62, 1 Hg 3.42

=====

# 9
Below is a geometry-optimized NbBr3O structure, with properties calculated at the PBE level.

Computed properties:
- SG: Pm-3m (221)
- Uncorrected formation energy: 0.953 eV per atom

Cell lengths 4.7064, 4.7064, 4.7064 Å; angles 90.00, 90.00, 90.00 degrees
Closest atoms and distances in Å follow each position.
Fractional coordinates of all 5 atoms:
Nb 0.5000 0.5000 0.5000  12 Br 3.33
O 0.0000 0.0000 0.0000  6 Br 2.35
Br 0.0000 0.5000 0.0000  2 O 2.35
Br 0.0000 0.0000 0.5000  2 O 2.35
Br 0.5000 0.0000 0.0000  2 O 2.35

=====

# 10
Below is a geometry-optimized HfHgS structure, with properties calculated at the PBE level.

Computed properties:
- SG: P-3m1 (164)
- Uncorrected formation energy: -0.607 eV per atom

Cell lengths 3.4629, 3.4629, 25.8229 Å; angles 90.00, 90.00, 120.00 degrees
Closest atoms and distances in Å follow each position.
Fractional coordinates of all 12 atoms:
Hg 0.6667 0.3333 0.0459  3 Hf 3.00, 3 Hg 3.10
Hg 0.3333 0.6667 0.9541  3 Hf 3.00, 3 Hg 3.10
Hg 0.3333 0.6667 0.7802  3 Hf 3.02, 3 S 3.09
Hg 0.6667 0.3333 0.2198  3 Hf 3.02, 3 S 3.09
Hf 0.6667 0.3333 0.3751  6 S 2.52-2.59
Hf 0.6667 0.3333 0.8676  6 Hg 3.00-3.02
Hf 0.3333 0.6667 0.1324  6 Hg 3.00-3.02
Hf 0.3333 0.6667 0.6249  6 S 2.52-2.59
S 0.6667 0.3333 0.5656  3 Hf 2.52
S 0.3333 0.6667 0.4344  3 Hf 2.52
S 0.3333 0.6667 0.3111  3 Hf 2.59
S 0.6667 0.3333 0.6889  3 Hf 2.59

=====

# 11
Below is a geometry-optimized KRb structure, with properties calculated at the PBE level.

Computed properties:
- SG: Pm-3m (221)
- Energy relative to the lowest polymorph listed for this composition: 0.006 eV per atom

Cell lengths 5.4490, 5.4490, 5.4490 Å; angles 90.00, 90.00, 90.00 degrees
Closest atoms and distances in Å follow each position.
Fractional coordinates of all 2 atoms:
K 0.0000 0.0000 0.0000  8 Rb 4.72
Rb 0.5000 0.5000 0.5000  8 K 4.72

=====

# 12
Below is a geometry-optimized NdY2I6 structure, with properties calculated at the PBE level.

Computed properties:
- SG: C2/m (12)
- Uncorrected formation energy: -1.263 eV per atom

Cell lengths 4.1876, 8.9329, 11.5822 Å; angles 116.33, 90.00, 103.56 degrees
Closest atoms and distances in Å follow each position.
Fractional coordinates of all 9 atoms:
Nd 0.0000 0.0000 0.5000  6 I 3.21-3.23
Y 0.6498 0.2997 0.8048  6 I 3.01-3.21
Y 0.3501 0.7003 0.1952  6 I 3.01-3.21
I 0.2994 0.5988 0.8918  3 Y 3.12-3.21
I 0.7006 0.4013 0.1081  3 Y 3.12-3.21
I 0.9838 0.9675 0.2105  2 Y 3.07, 1 Nd 3.23
I 0.6512 0.3024 0.5459  1 Y 3.01, 2 Nd 3.21
I 0.0162 0.0325 0.7895  2 Y 3.07, 1 Nd 3.23
I 0.3488 0.6976 0.4541  1 Y 3.01, 2 Nd 3.21

=====

Going through the records in order, we get spin magnetization values of 0.00 1.73 0.00 0.00 6.00 2.19 0.43 0.00 0.45 0.18 0.00 0.00 μB/f.u..